First-principles (GGA-PBE) data for a geometry-optimized ScPd5Pt5 structure, as listed in Alexandria via LeMat-Bulk.

a = 5.136 Å, b = 6.985 Å, c = 5.124 Å
α = 82.08°, β = 84.11°, γ = 98.39°
Element x y z (fractional)
Pt  0.711  0.722  0.755
Pt  0.000  0.500  0.500
Pt  0.407  0.349  0.715
Pt  0.593  0.651  0.285
Pt  0.289  0.278  0.245
Pd  0.180  0.655  0.983
Pd  0.229  0.894  0.504
Pd  0.820  0.345  0.017
Pd  0.771  0.106  0.496
Pd  0.500  0.000  0.000
Sc  0.000  0.000  0.000

Properties
E_tot (eV per atom): -5.909
Space-group type: P-1
E_form (eV per formula unit): -2.50